# LiFe2P2O8 (SCAN, single point on PBEsol structure)
# Total energy, eV/atom: -10.59
# Formation energy from raw total energies, eV per atom: -2.178
data_LiFe2P2O8
_symmetry_space_group_name_H-M 'C 1 2 1'
_symmetry_Int_Tables_number 5
_cell_length_a 6.7617
_cell_length_b 7.5997
_cell_length_c 6.7496
_cell_angle_alpha 90.00
_cell_angle_beta 90.68
_cell_angle_gamma 90.00
loop_
_symmetry_equiv_pos_as_xyz
'x,y,z'
'-x,y,-z'
'x+1/2,y+1/2,z'
'-x+1/2,y+1/2,-z'
loop_
_atom_site_label
_atom_site_fract_x
_atom_site_fract_y
_atom_site_fract_z
_atom_site_occupancy
Li1 0.0000 0.0000 0.0000 1
Fe1 0.0000 0.0093 0.5000 1
Fe2 0.0000 0.4932 0.0000 1
P1 0.2369 0.7498 0.7480 1
O1 0.0507 0.6375 0.7793 1
O2 0.0739 0.1321 0.2577 1
O3 0.2176 0.8566 0.5560 1
O4 0.2429 0.3753 0.0687 1